No. 1
AlZn2Sb: single point on PBEsol structure, SCAN.

DOS(E_F) ... 2.9 states/eV/cell
Size of the total moment ... 0.00 μB per atom
Electronic total energy ... -17.790 eV/atom
Excess energy over the best structure of this formula in the dataset ... 0.0201 eV/atom

Cell lengths 5.405, 3.155, 9.119 Å; angles 90.00, 105.17, 90.00 degrees
Space group Cm (No. 8)
Unique sites:
1 Al 0.000 0.000 0.000
2 Zn 0.234 0.000 0.776
3 Zn 0.469 0.000 0.564
4 Sb 0.261 0.500 0.281


No. 2
AlZnSb: single point on PBEsol structure, SCAN.

DOS(E_F) ... 2.7 states/eV/cell
Size of the total moment ... 0.00 μB per atom
Electronic total energy ... -19.301 eV/atom

Cell lengths 3.156, 3.156, 11.840 Å; angles 90.00, 90.00, 90.00 degrees
Space group I4mm (No. 107)
Unique sites:
1 Al 0.000 0.000 0.000
2 Zn 0.000 0.000 0.632
3 Sb 0.000 0.000 0.315


No. 3
ZrAlSb: single point on PBEsol structure, SCAN.

DOS(E_F) ... 2.0 states/eV/cell
Size of the total moment ... 0.00 μB per atom
Electronic total energy ... -25.381 eV/atom

Cell lengths 3.075, 3.075, 13.988 Å; angles 90.00, 90.00, 90.00 degrees
Space group I4mm (No. 107)
Unique sites:
1 Zr 0.000 0.000 0.000
2 Al 0.000 0.000 0.363
3 Sb 0.000 0.000 0.662


- Number 3 is which compound?
  ZrAlSb


Please write out number 2 again, unchanged.
AlZnSb: single point on PBEsol structure, SCAN.

DOS(E_F) ... 2.7 states/eV/cell
Size of the total moment ... 0.00 μB per atom
Electronic total energy ... -19.301 eV/atom

Cell lengths 3.156, 3.156, 11.840 Å; angles 90.00, 90.00, 90.00 degrees
Space group I4mm (No. 107)
Unique sites:
1 Al 0.000 0.000 0.000
2 Zn 0.000 0.000 0.632
3 Sb 0.000 0.000 0.315


- Which value of electronic total energy does entry 1 give?
  -17.790 eV/atom